(1)
A plane-wave DFT calculation with PBE was carried out for a geometry-optimized PuAgHgO4 structure.

Properties
crystal system: orthorhombic
density: 8.35 g/cm³
formation energy without anion corrections: -1.419 eV/atom

a b c (Å): 7.547 6.927 7.014
angles (deg): 120.41 90.00 123.00
Fractional positions:
Hg  0.500  0.000  0.500
O  0.279  0.559  0.320
Pu  0.500  0.500  0.500
O  0.157  0.901  0.700
O  0.721  0.441  0.680
O  0.843  0.099  0.300
O  0.256  0.099  0.300
Hg  0.500  0.000  0.000
O  0.744  0.901  0.700
Ag  0.856  0.712  0.106
O  0.279  0.559  0.739
Pu  0.000  0.500  0.500
O  0.721  0.441  0.261
Ag  0.144  0.288  0.894



(2)
A plane-wave DFT calculation with PBE was carried out for a geometry-optimized ScZnAs2Br structure.

Properties
crystal system: tetragonal
density: 4.72 g/cm³
formation energy without anion corrections: 0.114 eV/atom
polymorph energy (0 for the lowest one): 0.0908 eV per atom

a b c (Å): 4.747 4.747 5.315
angles (deg): 90.00 90.00 90.00
Fractional positions:
As  0.500  0.000  0.000
As  0.000  0.500  0.000
Zn  0.000  0.000  0.000
Sc  0.500  0.500  0.500
Br  0.000  0.000  0.500



(3)
A plane-wave DFT calculation with PBE was carried out for a geometry-optimized CaSbBr6 structure.

Properties
crystal system: trigonal
density: 3.91 g/cm³
formation energy without anion corrections: -0.967 eV/atom
polymorph energy (0 for the lowest one): 0.0092 eV per atom

a b c (Å): 7.018 7.018 7.556
angles (deg): 62.33 62.33 60.00
Fractional positions:
Br  0.408  0.767  0.756
Br  0.767  0.069  0.756
Br  0.233  0.931  0.244
Br  0.931  0.592  0.244
Ca  0.500  0.500  0.500
Sb  0.000  0.000  0.000
Br  0.592  0.233  0.244
Br  0.069  0.408  0.756



(4)
A plane-wave DFT calculation with PBE was carried out for a geometry-optimized YHI2O structure.

Properties
crystal system: tetragonal
density: 3.56 g/cm³
polymorph energy (0 for the lowest one): 0.0000 eV per atom

a b c (Å): 6.372 6.372 4.129
angles (deg): 90.00 90.00 90.00
Fractional positions:
H  0.500  0.500  0.500
I  0.500  0.000  0.000
Y  0.000  0.000  0.000
I  0.000  0.500  0.000
O  0.000  0.000  0.500



(5)
A plane-wave DFT calculation with PBE was carried out for a geometry-optimized Tb2PmF8 structure.

Properties
crystal system: monoclinic
density: 6.89 g/cm³
formation energy without anion corrections: -3.897 eV/atom

a b c (Å): 3.593 5.703 7.919
angles (deg): 109.78 103.11 90.00
Fractional positions:
F  0.398  0.558  0.797
Tb  0.819  0.317  0.638
F  0.949  0.228  0.899
F  0.682  0.959  0.364
Tb  0.181  0.683  0.362
F  0.780  0.671  0.559
F  0.318  0.041  0.636
F  0.220  0.329  0.441
Pm  0.500  0.000  0.000
F  0.602  0.442  0.203
F  0.051  0.772  0.101



(6)
A plane-wave DFT calculation with PBE was carried out for a geometry-optimized Tb12YEr7 structure.

Properties
crystal system: trigonal
density: 8.15 g/cm³
polymorph energy (0 for the lowest one): 0.0000 eV per atom
DFT formation energy: 0.30 eV per atom

a b c (Å): 8.674 8.674 8.674
angles (deg): 94.92 94.92 94.92
Fractional positions:
Er  0.352  0.021  0.083
Tb  0.185  0.750  0.314
Tb  0.415  0.478  0.147
Tb  0.478  0.147  0.415
Tb  0.750  0.314  0.185
Er  0.500  0.500  0.500
Tb  0.314  0.185  0.750
Er  0.979  0.917  0.648
Er  0.083  0.352  0.021
Tb  0.522  0.853  0.585
Er  0.648  0.979  0.917
Tb  0.147  0.415  0.478
Er  0.021  0.083  0.352
Tb  0.585  0.522  0.853
Tb  0.815  0.250  0.686
Tb  0.250  0.686  0.815
Tb  0.853  0.585  0.522
Y  0.000  0.000  0.000
Tb  0.686  0.815  0.250
Er  0.917  0.648  0.979